# 1
Entry from the Alexandria database: a relaxed La2ZrTiAl crystal (GGA-PBE).

It has space group P4/mmm (No. 123), with a = 5.2529 Å, b = 5.2529 Å, c = 5.1501 Å, α = 90.00°, β = 90.00° and γ = 90.00°. The distinct sites, in fractional coordinates, are La at (0.0000, 0.5000, 0.0000), Zr at (0.0000, 0.0000, 0.5000), Ti at (0.5000, 0.5000, 0.0000) and Al at (0.5000, 0.5000, 0.5000).

Its crystal system is tetragonal.

# 2
Entry from the Alexandria database: a relaxed TbNd5In8 crystal (GGA-PBE).

It has space group I-4 (No. 82), with a = 9.4329 Å, b = 9.4329 Å, c = 9.3313 Å, α = 90.00°, β = 90.00° and γ = 90.00°. The distinct sites, in fractional coordinates, are Tb at (0.0000, 0.0000, 0.0000), Nd at (0.0000, 0.5000, 0.2500), Nd at (0.1207, 0.2527, 0.6231), In at (0.0814, 0.1647, 0.2843) and In at (0.0864, 0.3266, 0.9624).

Its crystal system is tetragonal.

# 3
Entry from the Alexandria database: a relaxed AuSN2O crystal (GGA-PBE).

It has space group P4/mmm (No. 123), with a = 3.9176 Å, b = 3.9176 Å, c = 5.4277 Å, α = 90.00°, β = 90.00° and γ = 90.00°. The distinct sites, in fractional coordinates, are Au at (0.0000, 0.0000, 0.0000), S at (0.0000, 0.0000, 0.5000), N at (0.0000, 0.5000, 0.0000) and O at (0.5000, 0.5000, 0.5000).

As for the energy relative to the elements, uncorrected: 2.315 eV/atom. Its crystal system is tetragonal.

# 4
Entry from the Alexandria database: a relaxed SiIr2Pd2 crystal (GGA-PBE).

It has space group I4/mmm (No. 139), with a = 3.5004 Å, b = 3.5004 Å, c = 13.2183 Å, α = 90.00°, β = 90.00° and γ = 90.00°. The distinct sites, in fractional coordinates, are Si at (0.0000, 0.0000, 0.0000), Ir at (0.0000, 0.0000, 0.4066) and Pd at (0.0000, 0.5000, 0.2500).

As for the energy relative to the elements, uncorrected: 0.486 eV/atom. Its crystal system is tetragonal.

# 5
Entry from the Alexandria database: a relaxed La3DyTe4 crystal (GGA-PBE).

It has space group Cmmm (No. 65), with a = 9.1403 Å, b = 12.8032 Å, c = 4.4807 Å, α = 90.00°, β = 90.00° and γ = 90.00°. The distinct sites, in fractional coordinates, are La at (0.0000, 0.0000, 0.0000), La at (0.2500, 0.2500, 0.5000), Dy at (0.0000, 0.5000, 0.0000), Te at (0.0000, 0.2561, 0.0000) and Te at (0.2382, 0.5000, 0.5000).

As for the energy relative to the elements, uncorrected: -1.512 eV/atom. Its crystal system is orthorhombic.

# 6
Entry from the Alexandria database: a relaxed PmPr5N4 crystal (GGA-PBE).

It has space group C2/m (No. 12), with a = 16.0421 Å, b = 3.6504 Å, c = 7.5513 Å, α = 90.00°, β = 102.88° and γ = 90.00°. The distinct sites, in fractional coordinates, are Pm at (0.0000, 0.0000, 0.0000), Pr at (0.0000, 0.0000, 0.5000), Pr at (0.1579, 0.5000, 0.3039), Pr at (0.1638, 0.5000, 0.8494), N at (0.0016, 0.5000, 0.2466) and N at (0.1650, 0.0000, 0.0815).

As for the energy relative to the elements, uncorrected: -1.043 eV/atom. Its crystal system is monoclinic.

Number 1: total DFT energy (no corrections) -5.347 eV/atom. Number 2: total DFT energy (no corrections) -3.977 eV/atom. Number 3: total DFT energy (no corrections) -3.488 eV/atom. Number 4: total DFT energy (no corrections) -6.220 eV/atom. Number 5: total DFT energy (no corrections) -5.506 eV/atom. Number 6: total DFT energy (no corrections) -7.238 eV/atom.